Below is a geometry-optimized CeTiH structure, with properties calculated at the GGA-PBE level.

Size of the total moment, μB per cell: 0.0
Volume, Å³ per atom: 15.060
Total energy, eV/atom: -5.83

Lattice parameters (Å, degrees): 3.081 3.081 5.495 90.00 90.00 120.00
Atoms (fractional coordinates):
Ce1 0.000 0.000 0.000
Ti1 0.667 0.333 0.489
H1 0.333 0.667 0.669


Below is a geometry-optimized Li2SnBi3 structure, with properties calculated at the GGA-PBE level.

Size of the total moment, μB per cell: 0.0
Volume, Å³ per atom: 26.584
E_form, eV/atom: -0.18
Total energy, eV/atom: -3.42

Lattice parameters (Å, degrees): 8.640 8.640 3.420 90.00 90.00 141.34
Atoms (fractional coordinates):
Li1 0.151 0.849 0.000
Li2 0.849 0.151 0.000
Sn1 0.500 0.500 0.000
Bi1 0.000 0.000 0.500
Bi2 0.309 0.691 0.500
Bi3 0.691 0.309 0.500


Below is a geometry-optimized NbCdSbIr2 structure, with properties calculated at the GGA-PBE level.

Size of the total moment, μB per cell: 1.7
Volume, Å³ per atom: 23.714
Total energy, eV/atom: -4.72
Uncorrected formation energy, eV per atom: 1.85

Lattice parameters (Å, degrees): 4.857 4.857 5.026 90.00 90.00 90.00
Atoms (fractional coordinates):
Nb1 0.000 0.000 0.000
Cd1 0.000 0.000 0.500
Sb1 0.500 0.500 0.000
Ir1 0.000 0.500 0.500
Ir2 0.500 0.000 0.500


Below is a geometry-optimized RbPt5 structure, with properties calculated at the GGA-PBE level.

Size of the total moment, μB per cell: 0.0
Volume, Å³ per atom: 21.104
E_form, eV/atom: 0.04
Total energy, eV/atom: -5.15

Lattice parameters (Å, degrees): 7.012 7.012 6.693 97.86 97.86 22.86
Atoms (fractional coordinates):
Rb1 0.000 0.000 0.000
Pt1 0.000 0.000 0.500
Pt2 0.240 0.240 0.837
Pt3 0.337 0.337 0.506
Pt4 0.663 0.663 0.494
Pt5 0.760 0.760 0.163